# BaPm2AgS4 PBE-GGA relaxed
data_BaPm2AgS4
_cell_length_a 4.1462
_cell_length_b 13.7942
_cell_length_c 14.1625
_cell_angle_alpha 90.00
_cell_angle_beta 90.00
_cell_angle_gamma 90.00
_symmetry_space_group_name_H-M 'C m c m'
_symmetry_Int_Tables_number 63
_symmetry_space_group_name_Hall '-C 2c 2'
loop_
_atom_site_label
_atom_site_fract_x
_atom_site_fract_y
_atom_site_fract_z
_atom_site_occupancy
Ba1 0.0000 0.1225 0.2500 1
Pm1 0.0000 0.3741 0.0579 1
Ag1 0.0000 0.1500 0.7500 1
S1 0.0000 0.0000 0.0000 1
S2 0.0000 0.2685 0.6118 1
S3 0.0000 0.4520 0.2500 1
# - raw formation energy (eV/atom) = -1.7003
# - N(E_F) (states/eV/f.u.) = 1.13
# - size of the total moment (Bohr magnetons per cell) = 0.00
# - raw total energy (eV per atom) = -5.55

# BaPmAgSb PBE-GGA relaxed
data_BaPmAgSb
_cell_length_a 7.9415
_cell_length_b 7.9415
_cell_length_c 7.9415
_cell_angle_alpha 90.00
_cell_angle_beta 90.00
_cell_angle_gamma 90.00
_symmetry_space_group_name_H-M 'F -4 3 m'
_symmetry_Int_Tables_number 216
_symmetry_space_group_name_Hall 'F -4 2 3'
loop_
_atom_site_label
_atom_site_fract_x
_atom_site_fract_y
_atom_site_fract_z
_atom_site_occupancy
Ba1 0.0000 0.0000 0.0000 1
Pm1 0.0000 0.0000 0.5000 1
Ag1 0.2500 0.2500 0.2500 1
Sb1 0.2500 0.2500 0.7500 1
# - raw formation energy (eV/atom) = -0.5115
# - N(E_F) (states/eV/f.u.) = 4.23
# - size of the total moment (Bohr magnetons per cell) = 0.01
# - raw total energy (eV per atom) = -3.92

# Ba2PmAgSe4 PBE-GGA relaxed
data_Ba2PmAgSe4
_cell_length_a 7.6793
_cell_length_b 4.4556
_cell_length_c 7.7897
_cell_angle_alpha 90.00
_cell_angle_beta 110.61
_cell_angle_gamma 90.00
_symmetry_space_group_name_H-M 'P 1 2/m 1'
_symmetry_Int_Tables_number 10
loop_
_symmetry_equiv_pos_as_xyz
'x,y,z'
'-x,-y,-z'
'-x,y,-z'
'x,-y,z'
loop_
_atom_site_label
_atom_site_fract_x
_atom_site_fract_y
_atom_site_fract_z
_atom_site_occupancy
Ba1 0.0000 0.0000 0.0000 1
Ba2 0.0000 0.5000 0.5000 1
Pm1 0.5000 0.0000 0.5000 1
Ag1 0.5000 0.5000 0.0000 1
Se1 0.2749 0.5000 0.2704 1
Se2 0.2870 0.0000 0.7568 1
# - raw formation energy (eV/atom) = -1.5387
# - size of the total moment (Bohr magnetons per cell) = 0.00
# - raw total energy (eV per atom) = -4.71

# BaPm2AgSe4 PBE-GGA relaxed
data_BaPm2AgSe4
_cell_length_a 4.3119
_cell_length_b 14.3091
_cell_length_c 14.7474
_cell_angle_alpha 90.00
_cell_angle_beta 90.00
_cell_angle_gamma 90.00
_symmetry_space_group_name_H-M 'C m c m'
_symmetry_Int_Tables_number 63
_symmetry_space_group_name_Hall '-C 2c 2'
loop_
_atom_site_label
_atom_site_fract_x
_atom_site_fract_y
_atom_site_fract_z
_atom_site_occupancy
Ba1 0.0000 0.1260 0.2500 1
Pm1 0.0000 0.3747 0.0601 1
Ag1 0.0000 0.1487 0.7500 1
Se1 0.0000 0.0000 0.0000 1
Se2 0.0000 0.2692 0.6118 1
Se3 0.0000 0.4552 0.2500 1
# - raw formation energy (eV/atom) = -1.5935
# - N(E_F) (states/eV/f.u.) = 1.34
# - size of the total moment (Bohr magnetons per cell) = 0.00
# - raw total energy (eV per atom) = -5.12

# BaPmSiAg PBE-GGA relaxed
data_BaPmSiAg
_cell_length_a 7.7046
_cell_length_b 7.7046
_cell_length_c 7.7046
_cell_angle_alpha 90.00
_cell_angle_beta 90.00
_cell_angle_gamma 90.00
_symmetry_space_group_name_H-M 'F -4 3 m'
_symmetry_Int_Tables_number 216
_symmetry_space_group_name_Hall 'F -4 2 3'
loop_
_atom_site_label
_atom_site_fract_x
_atom_site_fract_y
_atom_site_fract_z
_atom_site_occupancy
Ba1 0.0000 0.0000 0.0000 1
Pm1 0.0000 0.0000 0.5000 1
Si1 0.2500 0.2500 0.7500 1
Ag1 0.2500 0.2500 0.2500 1
# - raw formation energy (eV/atom) = -0.2301
# - N(E_F) (states/eV/f.u.) = 1.40
# - size of the total moment (Bohr magnetons per cell) = 0.00
# - raw total energy (eV per atom) = -3.97

# BaPmAgSn PBE-GGA relaxed
data_BaPmAgSn
_cell_length_a 7.9806
_cell_length_b 7.9806
_cell_length_c 7.9806
_cell_angle_alpha 90.00
_cell_angle_beta 90.00
_cell_angle_gamma 90.00
_symmetry_space_group_name_H-M 'F -4 3 m'
_symmetry_Int_Tables_number 216
_symmetry_space_group_name_Hall 'F -4 2 3'
loop_
_atom_site_label
_atom_site_fract_x
_atom_site_fract_y
_atom_site_fract_z
_atom_site_occupancy
Ba1 0.0000 0.0000 0.0000 1
Pm1 0.0000 0.0000 0.5000 1
Ag1 0.2500 0.2500 0.2500 1
Sn1 0.2500 0.2500 0.7500 1
# - N(E_F) (states/eV/f.u.) = 1.66
# - ΔE_f (eV/atom) = -0.40
# - size of the total moment (Bohr magnetons per cell) = 0.00
# - raw total energy (eV per atom) = -3.79

# BaPm2Ag2Sn2 PBE-GGA relaxed
data_BaPm2Ag2Sn2
_cell_length_a 5.0072
_cell_length_b 5.0072
_cell_length_c 28.9911
_cell_angle_alpha 90.00
_cell_angle_beta 90.00
_cell_angle_gamma 120.00
_symmetry_space_group_name_H-M 'R -3 m'
_symmetry_Int_Tables_number 166
_symmetry_space_group_name_Hall '-R 3 2"'
loop_
_atom_site_label
_atom_site_fract_x
_atom_site_fract_y
_atom_site_fract_z
_atom_site_occupancy
Ba1 0.0000 0.0000 0.0000 1
Pm1 0.0000 0.0000 0.1369 1
Ag1 0.0000 0.0000 0.4419 1
Sn1 0.0000 0.0000 0.2536 1
# - N(E_F) (states/eV/f.u.) = 1.71
# - ΔE_f (eV/atom) = -0.48
# - size of the total moment (Bohr magnetons per cell) = 0.00
# - raw total energy (eV per atom) = -4.07

# BaPmAg2Te4 PBE-GGA relaxed
data_BaPmAg2Te4
_cell_length_a 7.5352
_cell_length_b 8.1213
_cell_length_c 8.9701
_cell_angle_alpha 90.00
_cell_angle_beta 90.00
_cell_angle_gamma 90.00
_symmetry_space_group_name_H-M 'I 2 2 2'
_symmetry_Int_Tables_number 23
loop_
_symmetry_equiv_pos_as_xyz
'x,y,z'
'-x,-y,z'
'x,-y,-z'
'-x,y,-z'
'x+1/2,y+1/2,z+1/2'
'-x+1/2,-y+1/2,z+1/2'
'x+1/2,-y+1/2,-z+1/2'
'-x+1/2,y+1/2,-z+1/2'
loop_
_atom_site_label
_atom_site_fract_x
_atom_site_fract_y
_atom_site_fract_z
_atom_site_occupancy
Ba1 0.0000 0.0000 0.0000 1
Pm1 0.0000 0.0000 0.5000 1
Ag1 0.0000 0.5000 0.1715 1
Te1 0.2222 0.2227 0.2974 1
# - raw formation energy (eV/atom) = -0.7990
# - N(E_F) (states/eV/f.u.) = 3.22
# - size of the total moment (Bohr magnetons per cell) = 0.00
# - raw total energy (eV per atom) = -3.92

# BaPrAg2 PBE-GGA relaxed
data_BaPrAg2
_cell_length_a 5.6187
_cell_length_b 5.6187
_cell_length_c 3.8486
_cell_angle_alpha 90.00
_cell_angle_beta 90.00
_cell_angle_gamma 90.00
_symmetry_space_group_name_H-M 'P 4/m m m'
_symmetry_Int_Tables_number 123
_symmetry_space_group_name_Hall '-P 4 2'
loop_
_atom_site_label
_atom_site_fract_x
_atom_site_fract_y
_atom_site_fract_z
_atom_site_occupancy
Ba1 0.0000 0.0000 0.0000 1
Pr1 0.5000 0.5000 0.0000 1
Ag1 0.0000 0.5000 0.5000 1
# - N(E_F) (states/eV/f.u.) = 4.09
# - ΔE_f (eV/atom) = -0.18
# - size of the total moment (Bohr magnetons per cell) = 0.00
# - polymorph energy (0 for the lowest one) (meV per atom) = 55
# - raw total energy (eV per atom) = -3.28

# BaPrAg4 PBE-GGA relaxed
data_BaPrAg4
_cell_length_a 8.4381
_cell_length_b 8.4381
_cell_length_c 8.4381
_cell_angle_alpha 90.00
_cell_angle_beta 90.00
_cell_angle_gamma 90.00
_symmetry_space_group_name_H-M 'F -4 3 m'
_symmetry_Int_Tables_number 216
_symmetry_space_group_name_Hall 'F -4 2 3'
loop_
_atom_site_label
_atom_site_fract_x
_atom_site_fract_y
_atom_site_fract_z
_atom_site_occupancy
Ba1 0.0000 0.0000 0.0000 1
Pr1 0.2500 0.2500 0.7500 1
Ag1 0.1243 0.1243 0.3757 1
# - N(E_F) (states/eV/f.u.) = 5.18
# - ΔE_f (eV/atom) = -0.10
# - size of the total moment (Bohr magnetons per cell) = 0.00
# - polymorph energy (0 for the lowest one) (meV per atom) = 127
# - raw total energy (eV per atom) = -3.11

# BaPrAg4 PBE-GGA relaxed
data_BaPrAg4
_cell_length_a 3.8878
_cell_length_b 4.9334
_cell_length_c 8.4573
_cell_angle_alpha 90.00
_cell_angle_beta 90.00
_cell_angle_gamma 90.00
_symmetry_space_group_name_H-M 'P m m m'
_symmetry_Int_Tables_number 47
loop_
_symmetry_equiv_pos_as_xyz
'x,y,z'
'-x,-y,-z'
'-x,-y,z'
'x,y,-z'
'x,-y,-z'
'-x,y,z'
'-x,y,-z'
'x,-y,z'
loop_
_atom_site_label
_atom_site_fract_x
_atom_site_fract_y
_atom_site_fract_z
_atom_site_occupancy
Ba1 0.0000 0.0000 0.0000 1
Pr1 0.0000 0.5000 0.5000 1
Ag1 0.5000 0.0000 0.3391 1
Ag2 0.5000 0.5000 0.1774 1
# - N(E_F) (states/eV/f.u.) = 4.39
# - ΔE_f (eV/atom) = -0.22
# - size of the total moment (Bohr magnetons per cell) = 0.00
# - polymorph energy (0 for the lowest one) (meV per atom) = 0
# - raw total energy (eV per atom) = -3.24

# BaPr3Ag4 PBE-GGA relaxed
data_BaPr3Ag4
_cell_length_a 5.4787
_cell_length_b 5.4787
_cell_length_c 7.6651
_cell_angle_alpha 90.00
_cell_angle_beta 90.00
_cell_angle_gamma 90.00
_symmetry_space_group_name_H-M 'P 4/m m m'
_symmetry_Int_Tables_number 123
_symmetry_space_group_name_Hall '-P 4 2'
loop_
_atom_site_label
_atom_site_fract_x
_atom_site_fract_y
_atom_site_fract_z
_atom_site_occupancy
Ba1 0.0000 0.0000 0.0000 1
Pr1 0.0000 0.0000 0.5000 1
Pr2 0.5000 0.5000 0.0000 1
Pr3 0.5000 0.5000 0.5000 1
Ag1 0.0000 0.5000 0.2730 1
# - N(E_F) (states/eV/f.u.) = 5.85
# - ΔE_f (eV/atom) = -0.20
# - size of the total moment (Bohr magnetons per cell) = 0.00
# - raw total energy (eV per atom) = -3.66